Record 1
ZnHgSe2 (PBE-GGA, optimized geometry); size of the total moment = 0.0 μB/f.u.; formation energy (no corrections) = -0.253 eV/atom; total DFT energy (no corrections) = -9.6 eV for the cell shown
1.0
2.363 0.000 7.542
-1.182 2.047 7.542
-1.182 -2.047 7.542
Zn Hg Se
1 1 2
Cartesian
0.000 0.000 11.312
0.000 0.000 0.000
0.000 0.000 20.125
0.000 0.000 2.500


Record 2
Zn2HgSe (PBE-GGA, optimized geometry); polymorph energy (0 for the lowest one) = 2.66 kcal/mol of atoms; size of the total moment = 0.0 μB/f.u.; formation energy (no corrections) = -0.001 eV/atom; total DFT energy (no corrections) = -6.3 eV for the cell shown
1.0
3.805 0.000 0.000
0.000 6.355 0.000
0.000 0.000 3.737
Hg Se Zn
1 1 2
Cartesian
1.902 0.000 1.869
0.000 3.177 1.869
0.000 0.000 0.000
1.902 3.177 0.000


Record 3
Zn2HgSe (PBE-GGA, optimized geometry); polymorph energy (0 for the lowest one) = 5.95 kcal/mol of atoms; size of the total moment = 0.0 μB/f.u.; formation energy (no corrections) = 0.142 eV/atom; total DFT energy (no corrections) = -5.8 eV for the cell shown
1.0
3.110 0.000 0.000
0.000 3.110 0.000
0.000 0.000 8.557
Hg Se Zn
1 1 2
Cartesian
0.000 0.000 3.989
1.555 1.555 6.937
0.000 0.000 0.121
1.555 1.555 1.789


Record 4
ZnHgSe (PBE-GGA, optimized geometry); polymorph energy (0 for the lowest one) = 6.17 kcal/mol of atoms; size of the total moment = 0.0 μB/f.u.; formation energy (no corrections) = -0.026 eV/atom; total DFT energy (no corrections) = -5.1 eV for the cell shown
1.0
-4.477 -0.794 0.841
-1.338 -1.512 4.160
-2.353 2.799 2.830
Hg Se Zn
1 1 1
Cartesian
0.000 0.000 0.000
-4.084 0.247 3.916
-2.042 0.123 1.958


Record 5
Zn2HgSe (PBE-GGA, optimized geometry); polymorph energy (0 for the lowest one) = 1.07 kcal/mol of atoms; size of the total moment = 0.0 μB/f.u.; formation energy (no corrections) = -0.070 eV/atom; total DFT energy (no corrections) = -6.6 eV for the cell shown
1.0
3.727 0.000 0.000
0.000 3.727 0.000
0.000 0.000 6.329
Hg Se Zn
1 1 2
Cartesian
0.000 0.000 2.638
1.864 1.864 5.715
0.000 0.000 5.536
1.864 1.864 1.932


Record 6
ZnHgSe2 (PBE-GGA, optimized geometry); size of the total moment = 0.0 μB/f.u.; formation energy (no corrections) = -0.016 eV/atom; total DFT energy (no corrections) = -8.6 eV for the cell shown
1.0
-2.987 -5.148 -2.374
-1.194 -6.278 -0.471
-5.316 -2.853 3.315
Hg Se Zn
1 2 1
Cartesian
-6.348 -11.182 -0.658
-9.176 -13.545 0.604
-2.196 -2.161 0.786
-6.023 -8.811 0.443


Record 7
ZnHgSe2 (PBE-GGA, optimized geometry); size of the total moment = 0.0 μB/f.u.; formation energy (no corrections) = -0.448 eV/atom; total DFT energy (no corrections) = -20.7 eV for the cell shown
1.0
7.382 -0.001 -0.002
-1.153 7.234 0.002
0.002 -1.228 4.028
Zn Hg Se
2 2 4
Cartesian
-0.367 2.641 2.396
0.829 6.478 1.360
3.207 3.140 0.357
4.596 5.934 3.387
4.653 3.352 2.619
7.113 0.263 1.663
3.129 -0.669 3.585
0.693 4.093 0.637


Record 8
ZnHgSe2 (PBE-GGA, optimized geometry); size of the total moment = 0.0 μB/f.u.; formation energy (no corrections) = 0.162 eV/atom; total DFT energy (no corrections) = -7.9 eV for the cell shown
1.0
3.990 0.000 0.000
0.000 3.724 0.000
0.000 0.000 6.490
Hg Se Zn
1 2 1
Cartesian
0.000 1.862 3.245
0.000 0.000 0.000
1.995 1.862 0.000
1.995 0.000 3.245


Record 9
ZnHg2Se (PBE-GGA, optimized geometry); polymorph energy (0 for the lowest one) = 6.92 kcal/mol of atoms; size of the total moment = 0.0 μB/f.u.; formation energy (no corrections) = 0.088 eV/atom; total DFT energy (no corrections) = -5.0 eV for the cell shown
1.0
5.398 -0.259 -0.020
0.050 5.404 0.020
-1.519 -3.848 3.478
Hg Se Zn
2 1 1
Cartesian
0.062 0.058 0.000
2.662 2.515 0.000
3.302 -0.767 1.729
0.627 2.064 1.749


Record 10
ZnHgSe2 (PBE-GGA, optimized geometry); size of the total moment = 0.0 μB/f.u.; formation energy (no corrections) = -0.259 eV/atom; total DFT energy (no corrections) = -38.3 eV for the cell shown
1.0
18.192 0.000 1.640
0.000 4.051 0.000
-6.026 0.000 5.320
Zn Hg Se
4 4 8
Cartesian
7.910 3.033 1.179
4.256 1.018 5.782
-1.827 1.007 2.302
13.994 3.044 4.659
3.931 2.125 1.186
8.235 1.926 5.774
2.152 0.099 2.294
10.014 3.951 4.667
12.458 0.485 5.872
-0.292 3.566 1.088
5.791 2.510 4.568
6.375 1.540 2.392
-1.836 2.909 3.869
14.003 1.142 3.091
1.894 0.883 4.931
10.273 3.167 2.029


Record 11
ZnHg2Se (PBE-GGA, optimized geometry); polymorph energy (0 for the lowest one) = 7.81 kcal/mol of atoms; size of the total moment = 0.0 μB/f.u.; formation energy (no corrections) = 0.126 eV/atom; total DFT energy (no corrections) = -4.9 eV for the cell shown
1.0
4.188 0.000 0.000
0.000 4.188 0.000
0.000 0.000 5.472
Hg Se Zn
2 1 1
Cartesian
0.000 0.000 5.467
0.000 0.000 2.741
2.094 2.094 1.368
2.094 2.094 4.104


Record 12
ZrHgSe3 (PBE-GGA, optimized geometry); polymorph energy (0 for the lowest one) = 0.00 kcal/mol of atoms; size of the total moment = 0.0 μB/f.u.; formation energy (no corrections) = -0.410 eV/atom; total DFT energy (no corrections) = -21.4 eV for the cell shown
1.0
5.259 0.000 0.000
0.000 5.259 0.000
0.000 0.000 5.259
Se Hg Zr
3 1 1
Cartesian
0.000 2.629 0.000
0.000 0.000 2.629
2.629 0.000 0.000
2.629 2.629 2.629
0.000 0.000 0.000


Record 13
ZrHg3Se (PBE-GGA, optimized geometry); polymorph energy (0 for the lowest one) = 3.93 kcal/mol of atoms; size of the total moment = 2.2 μB/f.u.; formation energy (no corrections) = 0.832 eV/atom; total DFT energy (no corrections) = -8.8 eV for the cell shown
1.0
-0.701 4.979 1.662
-2.078 -1.803 4.525
4.821 -0.053 2.192
Se Hg Zr
1 3 1
Cartesian
0.000 0.000 0.000
-1.039 -0.901 2.263
2.410 -0.026 1.096
-0.351 2.490 0.831
1.021 1.562 4.190


Record 14
ZrHgSe3 (PBE-GGA, optimized geometry); polymorph energy (0 for the lowest one) = 22.31 kcal/mol of atoms; size of the total moment = 0.0 μB/f.u.; formation energy (no corrections) = 0.558 eV/atom; total DFT energy (no corrections) = -16.5 eV for the cell shown
1.0
5.135 0.000 0.000
0.000 5.135 0.000
0.000 0.000 5.135
Se Hg Zr
3 1 1
Cartesian
0.000 2.567 0.000
0.000 0.000 2.567
2.567 0.000 0.000
0.000 0.000 0.000
2.567 2.567 2.567


Record 15
Zr4HgSe (PBE-GGA, optimized geometry); size of the total moment = 0.0 μB/f.u.; formation energy (no corrections) = 0.246 eV/atom; total DFT energy (no corrections) = -36.5 eV for the cell shown
1.0
0.000 4.087 4.087
4.087 0.000 4.087
4.087 4.087 0.000
Zr Hg Se
4 1 1
Cartesian
3.076 5.099 5.099
5.099 5.099 3.076
5.099 3.076 5.099
3.076 3.076 3.076
6.131 6.131 6.131
0.000 0.000 0.000


Record 16
Zr3HgSe (PBE-GGA, optimized geometry); polymorph energy (0 for the lowest one) = 0.00 kcal/mol of atoms; size of the total moment = 0.0 μB/f.u.; formation energy (no corrections) = -0.066 eV/atom; total DFT energy (no corrections) = -29.8 eV for the cell shown
1.0
-1.923 -2.421 -3.909
1.844 -4.288 1.748
-4.212 -0.772 2.551
Se Hg Zr
1 1 3
Cartesian
0.000 0.000 0.000
-2.146 -3.740 0.195
0.922 -2.144 0.874
-2.106 -0.386 1.275
-0.962 -1.211 -1.955


Record 17
ZrHg3Se (PBE-GGA, optimized geometry); polymorph energy (0 for the lowest one) = 0.00 kcal/mol of atoms; size of the total moment = 0.0 μB/f.u.; formation energy (no corrections) = 0.661 eV/atom; total DFT energy (no corrections) = -9.6 eV for the cell shown
1.0
5.589 0.000 0.000
0.000 5.589 0.000
0.000 0.000 5.589
Se Hg Zr
1 3 1
Cartesian
2.794 2.794 2.794
0.000 2.794 0.000
0.000 0.000 2.794
2.794 0.000 0.000
0.000 0.000 0.000


Record 18
Si4Hg (PBE-GGA, optimized geometry); polymorph energy (0 for the lowest one) = 19.40 kcal/mol of atoms; size of the total moment = 0.0 μB/f.u.; formation energy (no corrections) = 1.144 eV/atom; total DFT energy (no corrections) = -16.3 eV for the cell shown
1.0
-3.034 3.034 3.034
3.034 -3.034 3.034
3.034 3.034 -3.034
Si Hg
4 1
Cartesian
-1.517 1.517 1.517
1.517 1.517 1.517
1.517 -1.517 1.517
1.517 1.517 -1.517
0.000 0.000 0.000


Record 19
SiHg2 (PBE-GGA, optimized geometry); polymorph energy (0 for the lowest one) = 6.00 kcal/mol of atoms; size of the total moment = 0.0 μB/f.u.; formation energy (no corrections) = 0.437 eV/atom; total DFT energy (no corrections) = -4.7 eV for the cell shown
1.0
-1.364 0.012 -3.105
-1.485 -1.750 2.498
-3.792 5.627 1.687
Hg Si
2 1
Cartesian
-3.030 4.496 1.348
-0.762 1.130 0.339
-3.341 1.651 1.474


Record 20
SiHg3 (PBE-GGA, optimized geometry); polymorph energy (0 for the lowest one) = 5.37 kcal/mol of atoms; size of the total moment = 0.0 μB/f.u.; formation energy (no corrections) = 0.408 eV/atom; total DFT energy (no corrections) = -9.4 eV for the cell shown
1.0
3.470 -6.010 0.000
3.470 6.010 0.000
0.000 0.000 4.492
Si Hg
2 6
Cartesian
3.470 2.003 3.369
3.470 -2.003 1.123
1.833 1.058 1.123
5.107 1.058 1.123
3.470 3.894 1.123
5.107 -1.058 3.369
1.833 -1.058 3.369
3.470 -3.894 3.369